MgFe3O4, relaxed, DFT PBE+U; volume = 10.3 Å³/atom; SG = P2/c (13); magnetization = 11.962 μB per formula unit; distance to the lowest polymorph of the same formula = 0.0 meV per atom
1.0
-4.331 2.651 -1.601
-1.024 -2.618 4.525
1.819 4.952 3.277
Fe O Mg
6 8 2
direct
0.750 0.000 0.373
0.250 0.000 0.627
0.750 0.500 0.123
0.250 0.500 0.372
0.250 0.500 0.877
0.750 0.500 0.628
0.014 0.749 0.369
0.999 0.238 0.119
0.486 0.251 0.369
0.501 0.762 0.119
0.001 0.762 0.881
0.514 0.749 0.631
0.986 0.251 0.631
0.499 0.238 0.881
0.750 0.000 0.877
0.250 0.000 0.123